Computed, not measured: an optimized crystal structure of BaIrW2Se at the GGA-PBE level of DFT.

Lattice parameters (Å, degrees): 4.7860 4.7860 4.8746 90.00 90.00 90.00
Closest atoms and distances in Å follow each position.
Fractional positions:
Ba (0.0000, 0.0000, 0.0000)  4 Ir 3.38, 8 W 3.42
Ir (0.5000, 0.5000, 0.0000)  2 Se 2.44
W (0.0000, 0.5000, 0.5000)  2 Se 2.39
W (0.5000, 0.0000, 0.5000)  2 Se 2.39
Se (0.5000, 0.5000, 0.5000)  4 W 2.39, 2 Ir 2.44

mass density = 11543 kg/m³
DOS at the Fermi energy = 1.24 states/eV/atom
E_form (uncorrected) = 1.30 eV/atom
total magnetic moment = 0.00 μB per cell

Computed, not measured: an optimized crystal structure of BaY2IrSe at the GGA-PBE level of DFT.

Lattice parameters (Å, degrees): 5.7649 5.7649 4.9381 90.00 90.00 90.00
Closest atoms and distances in Å follow each position.
Fractional positions:
Ba (0.0000, 0.0000, 0.0000)  2 Ir 2.47
Y (0.0000, 0.5000, 0.0000)  2 Ba 2.88
Y (0.5000, 0.0000, 0.0000)  2 Ba 2.88
Ir (0.0000, 0.0000, 0.5000)  2 Ba 2.47
Se (0.5000, 0.5000, 0.5000)  8 Y 3.80, 4 Ir 4.08

mass density = 5933 kg/m³
DOS at the Fermi energy = 1.26 states/eV/atom
E_form (uncorrected) = 1.25 eV/atom
total magnetic moment = 0.00 μB per cell

Computed, not measured: an optimized crystal structure of BaY2IrSe at the GGA-PBE level of DFT.

Lattice parameters (Å, degrees): 5.2297 5.2297 6.2193 90.00 90.00 90.00
Closest atoms and distances in Å follow each position.
Fractional positions:
Ba (0.0000, 0.0000, 0.0000)  4 Se 3.70, 8 Y 4.06
Y (0.0000, 0.5000, 0.5000)  2 Ir 2.61
Y (0.5000, 0.0000, 0.5000)  2 Ir 2.61
Ir (0.5000, 0.5000, 0.5000)  4 Y 2.61
Se (0.5000, 0.5000, 0.0000)  2 Ir 3.11

mass density = 5724 kg/m³
DOS at the Fermi energy = 0.79 states/eV/atom
E_form (uncorrected) = -0.30 eV/atom
total magnetic moment = 0.00 μB per cell

Computed, not measured: an optimized crystal structure of BaSi2Ir2 at the GGA-PBE level of DFT.

Lattice parameters (Å, degrees): 7.9767 6.7604 7.7882 90.00 91.89 90.00
Closest atoms and distances in Å follow each position.
Fractional positions:
Ba (0.2354, 0.1198, 0.4986)  6 Ir 3.29-3.68, 6 Si 3.37-3.53
Ba (0.2354, 0.3802, 0.9986)  6 Ir 3.29-3.68, 6 Si 3.37-3.53
Ba (0.7646, 0.6198, 0.0014)  6 Ir 3.29-3.68, 6 Si 3.37-3.53
Ba (0.7646, 0.8802, 0.5014)  6 Ir 3.29-3.68, 6 Si 3.37-3.53
Si (0.0729, 0.5810, 0.3705)  4 Ir 2.38-2.44, 1 Si 2.60
Si (0.0729, 0.9190, 0.8705)  4 Ir 2.38-2.44, 1 Si 2.60
Si (0.4366, 0.6472, 0.6874)  4 Ir 2.34-2.39
Si (0.4366, 0.8528, 0.1874)  4 Ir 2.34-2.39
Si (0.5634, 0.1472, 0.8126)  4 Ir 2.34-2.39
Si (0.5634, 0.3528, 0.3126)  4 Ir 2.34-2.39
Si (0.9271, 0.0810, 0.1295)  4 Ir 2.38-2.44, 1 Si 2.60
Si (0.9271, 0.4190, 0.6295)  4 Ir 2.38-2.44, 1 Si 2.60
Ir (0.1375, 0.6670, 0.6693)  4 Si 2.38-2.44
Ir (0.1375, 0.8330, 0.1693)  4 Si 2.38-2.44
Ir (0.3785, 0.6056, 0.3864)  4 Si 2.34-2.44
Ir (0.3785, 0.8944, 0.8864)  4 Si 2.34-2.44
Ir (0.6215, 0.1056, 0.1136)  4 Si 2.34-2.44
Ir (0.6215, 0.3944, 0.6136)  4 Si 2.34-2.44
Ir (0.8625, 0.1670, 0.8307)  4 Si 2.38-2.44
Ir (0.8625, 0.3330, 0.3307)  4 Si 2.38-2.44

mass density = 9145 kg/m³
DOS at the Fermi energy = 0.39 states/eV/atom
E_form (uncorrected) = -0.84 eV/atom
total magnetic moment = 0.00 μB per cell

Computed, not measured: an optimized crystal structure of BaSi2Ir at the GGA-PBE level of DFT.

Lattice parameters (Å, degrees): 3.2839 3.2839 7.5104 90.00 90.00 90.00
Closest atoms and distances in Å follow each position.
Fractional positions:
Ba (0.0000, 0.0000, 0.0000)  4 Ba 3.28, 5 Si 3.37-3.60, 4 Ir 3.52
Si (0.0000, 0.0000, 0.4795)  4 Ir 2.51, 4 Si 2.75
Si (0.5000, 0.5000, 0.6755)  1 Ir 2.43
Ir (0.5000, 0.5000, 0.3516)  5 Si 2.43-2.51

mass density = 7908 kg/m³
DOS at the Fermi energy = 0.51 states/eV/atom
E_form (uncorrected) = -0.10 eV/atom
total magnetic moment = 0.00 μB per cell

Computed, not measured: an optimized crystal structure of BaSi2Ir at the GGA-PBE level of DFT.

Lattice parameters (Å, degrees): 5.5125 5.5125 3.0960 94.87 94.87 116.03
Closest atoms and distances in Å follow each position.
Fractional positions:
Ba (0.0000, 0.0000, 0.0000)  2 Ir 2.92, 4 Si 3.04, 2 Ba 3.10
Si (0.0000, 0.5000, 0.5000)  4 Si 2.92-3.10, 2 Ba 3.04, 2 Ir 3.04
Si (0.5000, 0.0000, 0.5000)  4 Si 2.92-3.10, 2 Ba 3.04, 2 Ir 3.04
Ir (0.5000, 0.5000, 0.0000)  2 Ba 2.92, 4 Si 3.04, 2 Ir 3.10

mass density = 7676 kg/m³
DOS at the Fermi energy = 0.53 states/eV/atom
E_form (uncorrected) = 0.68 eV/atom
total magnetic moment = 0.00 μB per cell

Computed, not measured: an optimized crystal structure of BaSi2Ir at the GGA-PBE level of DFT.

Lattice parameters (Å, degrees): 6.4138 6.4138 6.4138 37.63 37.63 37.63
Closest atoms and distances in Å follow each position.
Fractional positions:
Ba (0.0000, 0.0000, 0.0000)  8 Si 3.34-3.62
Si (0.2026, 0.2026, 0.2026)  3 Ir 2.47, 3 Si 2.71
Si (0.7974, 0.7974, 0.7974)  3 Ir 2.47, 3 Si 2.71
Ir (0.5000, 0.5000, 0.5000)  6 Si 2.47

mass density = 7264 kg/m³
DOS at the Fermi energy = 0.68 states/eV/atom
E_form (uncorrected) = -0.62 eV/atom
total magnetic moment = 0.00 μB per cell

Computed, not measured: an optimized crystal structure of Ba2SiIr at the GGA-PBE level of DFT.

Lattice parameters (Å, degrees): 4.2654 4.2654 9.3282 102.76 102.76 60.00
Closest atoms and distances in Å follow each position.
Fractional positions:
Ba (0.0000, 0.0000, 0.0000)  3 Ir 3.34, 3 Si 3.34
Ba (0.1614, 0.1614, 0.5000)  3 Si 3.34, 3 Ir 3.34
Si (0.7473, 0.7473, 0.2501)  3 Ir 2.46
Ir (0.4139, 0.4139, 0.2498)  3 Si 2.46

mass density = 5783 kg/m³
DOS at the Fermi energy = 1.15 states/eV/atom
E_form (uncorrected) = -0.47 eV/atom
total magnetic moment = 0.00 μB per cell

Computed, not measured: an optimized crystal structure of BaSiIr2 at the GGA-PBE level of DFT.

Lattice parameters (Å, degrees): 5.6922 5.6922 2.9948 104.92 104.92 114.49
Closest atoms and distances in Å follow each position.
Fractional positions:
Ba (0.0000, 0.0000, 0.0000)  4 Ir 2.85, 2 Ba 2.99, 4 Si 3.08-3.11
Si (0.5000, 0.5000, 0.0000)  4 Ir 2.85, 2 Si 2.99, 4 Ba 3.08-3.11
Ir (0.0000, 0.5000, 0.5000)  2 Ba 2.85, 2 Si 2.85, 6 Ir 2.99-3.11
Ir (0.5000, 0.0000, 0.5000)  2 Ba 2.85, 2 Si 2.85, 6 Ir 2.99-3.11

mass density = 11755 kg/m³
DOS at the Fermi energy = 0.69 states/eV/atom
E_form (uncorrected) = 0.74 eV/atom
total magnetic moment = 0.00 μB per cell

Computed, not measured: an optimized crystal structure of BaSiIr2 at the GGA-PBE level of DFT.

Lattice parameters (Å, degrees): 4.4810 4.4810 3.8831 90.00 90.00 90.00
Closest atoms and distances in Å follow each position.
Fractional positions:
Ba (0.0000, 0.0000, 0.0000)  8 Ir 2.96, 4 Si 3.17
Si (0.5000, 0.5000, 0.0000)  8 Ir 2.96, 4 Ba 3.17
Ir (0.0000, 0.5000, 0.5000)  4 Ba 2.96, 4 Si 2.96, 4 Ir 3.17
Ir (0.5000, 0.0000, 0.5000)  4 Ba 2.96, 4 Si 2.96, 4 Ir 3.17

mass density = 11710 kg/m³
DOS at the Fermi energy = 0.53 states/eV/atom
E_form (uncorrected) = 0.63 eV/atom
total magnetic moment = 0.00 μB per cell

Computed, not measured: an optimized crystal structure of BaSi2Ir at the GGA-PBE level of DFT.

Lattice parameters (Å, degrees): 4.1952 5.2251 4.7303 90.00 90.00 90.00
Closest atoms and distances in Å follow each position.
Fractional positions:
Ba (0.0000, 0.0000, 0.0000)  8 Si 3.49-3.56, 4 Ir 3.59
Si (0.0000, 0.5000, 0.5099)  2 Ir 2.34, 2 Si 2.51
Si (0.5000, 0.5000, 0.2177)  2 Ir 2.31-2.42, 2 Si 2.51
Ir (0.5000, 0.5000, 0.7296)  4 Si 2.31-2.42

mass density = 6177 kg/m³
DOS at the Fermi energy = 0.62 states/eV/atom
E_form (uncorrected) = -0.38 eV/atom
total magnetic moment = 0.00 μB per cell

Computed, not measured: an optimized crystal structure of BaSi3Ir at the GGA-PBE level of DFT.

Lattice parameters (Å, degrees): 4.8464 4.8464 4.8464 90.00 90.00 90.00
Closest atoms and distances in Å follow each position.
Fractional positions:
Ba (0.0000, 0.0000, 0.0000)  12 Si 3.43
Si (0.0000, 0.5000, 0.5000)  2 Ir 2.42
Si (0.5000, 0.0000, 0.5000)  2 Ir 2.42
Si (0.5000, 0.5000, 0.0000)  2 Ir 2.42
Ir (0.5000, 0.5000, 0.5000)  6 Si 2.42

mass density = 6036 kg/m³
DOS at the Fermi energy = 3.03 states/eV/atom
E_form (uncorrected) = 0.15 eV/atom
total magnetic moment = 0.00 μB per cell

Copy entry 6 word for word.
Computed, not measured: an optimized crystal structure of BaSi2Ir at the GGA-PBE level of DFT.

Lattice parameters (Å, degrees): 5.5125 5.5125 3.0960 94.87 94.87 116.03
Closest atoms and distances in Å follow each position.
Fractional positions:
Ba (0.0000, 0.0000, 0.0000)  2 Ir 2.92, 4 Si 3.04, 2 Ba 3.10
Si (0.0000, 0.5000, 0.5000)  4 Si 2.92-3.10, 2 Ba 3.04, 2 Ir 3.04
Si (0.5000, 0.0000, 0.5000)  4 Si 2.92-3.10, 2 Ba 3.04, 2 Ir 3.04
Ir (0.5000, 0.5000, 0.0000)  2 Ba 2.92, 4 Si 3.04, 2 Ir 3.10

mass density = 7676 kg/m³
DOS at the Fermi energy = 0.53 states/eV/atom
E_form (uncorrected) = 0.68 eV/atom
total magnetic moment = 0.00 μB per cell